# K2ZnCd | the Alexandria database | PBE | relaxed
data_K2ZnCd
_chemical_formula_sum 'K4 Zn2 Cd2'
_symmetry_space_group_name_H-M 'C 1 m 1'
_symmetry_Int_Tables_number 8
_cell_length_a 12.875
_cell_length_b 4.407
_cell_length_c 5.917
_cell_angle_alpha 90.00
_cell_angle_beta 117.19
_cell_angle_gamma 90.00
loop_
_symmetry_equiv_pos_as_xyz
'x,y,z'
'x,-y,z'
'x+1/2,y+1/2,z'
'x+1/2,-y+1/2,z'
loop_
_atom_site_label
_atom_site_fract_x
_atom_site_fract_y
_atom_site_fract_z
K1 0.000 0.000 0.000
K2 0.199 0.000 0.699
Zn1 0.273 0.500 0.271
Cd1 0.415 0.000 0.414
# Energy of formation ... 0.025 eV/atom
# VASP energy ... -1.071 eV/atom
# Crystal system ... monoclinic
# Polymorph energy (0 for the lowest one) ... 1.9 kJ/mol of atoms

# KZnCd3 | the Alexandria database | PBE | relaxed
data_KZnCd3
_chemical_formula_sum 'K2 Zn2 Cd6'
_symmetry_space_group_name_H-M 'P 63/m m c'
_symmetry_Int_Tables_number 194
_symmetry_space_group_name_Hall '-P 6c 2c'
_cell_length_a 7.0907
_cell_length_b 7.0907
_cell_length_c 6.2536
_cell_angle_alpha 90.00
_cell_angle_beta 90.00
_cell_angle_gamma 120.00
loop_
_atom_site_label
_atom_site_fract_x
_atom_site_fract_y
_atom_site_fract_z
K1 0.3333 0.6667 0.2500
Zn1 0.0000 0.0000 0.0000
Cd1 0.1894 0.3789 0.7500
# Energy of formation ... 0.014 eV/atom
# VASP energy ... -1.010 eV/atom
# Crystal system ... hexagonal
# Polymorph energy (0 for the lowest one) ... 4.7 kJ/mol of atoms

# KZn4Cd8 | the Alexandria database | PBE | relaxed
data_KZn4Cd8
_chemical_formula_sum 'K2 Zn8 Cd16'
_symmetry_space_group_name_H-M 'I 4/m m m'
_symmetry_Int_Tables_number 139
_symmetry_space_group_name_Hall '-I 4 2'
_cell_length_a 10.220
_cell_length_b 10.220
_cell_length_c 5.346
_cell_angle_alpha 90.00
_cell_angle_beta 90.00
_cell_angle_gamma 90.00
loop_
_atom_site_label
_atom_site_fract_x
_atom_site_fract_y
_atom_site_fract_z
K1 0.000 0.000 0.000
Zn1 0.250 0.250 0.250
Cd1 0.000 0.216 0.500
Cd2 0.000 0.351 0.000
# Energy of formation ... -0.009 eV/atom
# VASP energy ... -1.049 eV/atom
# Crystal system ... tetragonal

# K2ZnCd | the Alexandria database | PBE | relaxed
data_K2ZnCd
_chemical_formula_sum 'K2 Zn1 Cd1'
_symmetry_space_group_name_H-M 'P m m 2'
_symmetry_Int_Tables_number 25
_cell_length_a 3.868
_cell_length_b 4.007
_cell_length_c 9.895
_cell_angle_alpha 90.00
_cell_angle_beta 90.00
_cell_angle_gamma 90.00
loop_
_symmetry_equiv_pos_as_xyz
'x,y,z'
'-x,-y,z'
'-x,y,z'
'x,-y,z'
loop_
_atom_site_label
_atom_site_fract_x
_atom_site_fract_y
_atom_site_fract_z
K1 0.000 0.000 0.000
K2 0.500 0.500 0.398
Zn1 0.000 0.000 0.647
Cd1 0.500 0.500 0.747
# Energy of formation ... 0.053 eV/atom
# VASP energy ... -1.043 eV/atom
# Crystal system ... orthorhombic
# Polymorph energy (0 for the lowest one) ... 4.6 kJ/mol of atoms

# K2ZnCd2 | the Alexandria database | PBE | relaxed
data_K2ZnCd2
_chemical_formula_sum 'K4 Zn2 Cd4'
_symmetry_space_group_name_H-M 'I m m m'
_symmetry_Int_Tables_number 71
_symmetry_space_group_name_Hall '-I 2 2'
_cell_length_a 4.840
_cell_length_b 6.047
_cell_length_c 11.541
_cell_angle_alpha 90.00
_cell_angle_beta 90.00
_cell_angle_gamma 90.00
loop_
_atom_site_label
_atom_site_fract_x
_atom_site_fract_y
_atom_site_fract_z
K1 0.000 0.000 0.195
Zn1 0.000 0.500 0.000
Cd1 0.000 0.246 0.500
# Energy of formation ... -0.039 eV/atom
# VASP energy ... -1.099 eV/atom
# Crystal system ... orthorhombic
# Polymorph energy (0 for the lowest one) ... 0.0 kJ/mol of atoms

# KZn2Cd2 | the Alexandria database | PBE | relaxed
data_KZn2Cd2
_chemical_formula_sum 'K2 Zn4 Cd4'
_symmetry_space_group_name_H-M 'I 4/m m m'
_symmetry_Int_Tables_number 139
_symmetry_space_group_name_Hall '-I 4 2'
_cell_length_a 4.903
_cell_length_b 4.903
_cell_length_c 11.039
_cell_angle_alpha 90.00
_cell_angle_beta 90.00
_cell_angle_gamma 90.00
loop_
_atom_site_label
_atom_site_fract_x
_atom_site_fract_y
_atom_site_fract_z
K1 0.000 0.000 0.000
Zn1 0.000 0.500 0.250
Cd1 0.000 0.000 0.368
# Energy of formation ... 0.023 eV/atom
# VASP energy ... -1.072 eV/atom
# Crystal system ... tetragonal
# Polymorph energy (0 for the lowest one) ... 3.2 kJ/mol of atoms

# KZrZn2Cd | the Alexandria database | PBE | relaxed
data_KZrZn2Cd
_chemical_formula_sum 'K1 Zr1 Zn2 Cd1'
_symmetry_space_group_name_H-M 'P 4/m m m'
_symmetry_Int_Tables_number 123
_symmetry_space_group_name_Hall '-P 4 2'
_cell_length_a 5.427
_cell_length_b 5.427
_cell_length_c 5.788
_cell_angle_alpha 90.00
_cell_angle_beta 90.00
_cell_angle_gamma 90.00
loop_
_atom_site_label
_atom_site_fract_x
_atom_site_fract_y
_atom_site_fract_z
K1 0.000 0.000 0.000
Zr1 0.500 0.500 0.500
Zn1 0.000 0.500 0.500
Cd1 0.500 0.500 0.000
# Energy of formation ... 0.510 eV/atom
# VASP energy ... -2.111 eV/atom
# Crystal system ... tetragonal

# K2ZrCd | the Alexandria database | PBE | relaxed
data_K2ZrCd
_chemical_formula_sum 'K2 Zr1 Cd1'
_symmetry_space_group_name_H-M 'P m m m'
_symmetry_Int_Tables_number 47
_cell_length_a 3.539
_cell_length_b 5.592
_cell_length_c 6.454
_cell_angle_alpha 90.00
_cell_angle_beta 90.00
_cell_angle_gamma 90.00
loop_
_symmetry_equiv_pos_as_xyz
'x,y,z'
'-x,-y,-z'
'-x,-y,z'
'x,y,-z'
'x,-y,-z'
'-x,y,z'
'-x,y,-z'
'x,-y,z'
loop_
_atom_site_label
_atom_site_fract_x
_atom_site_fract_y
_atom_site_fract_z
K1 0.000 0.000 0.000
K2 0.500 0.500 0.000
Zr1 0.000 0.500 0.500
Cd1 0.500 0.000 0.500
# Energy of formation ... 0.639 eV/atom
# VASP energy ... -2.276 eV/atom
# Crystal system ... orthorhombic